[1]
# ReRu2Se

ReRu2Se after structural relaxation (PBE, Alexandria via LeMat-Bulk).

Properties
E_form (uncorrected): 0.350 eV/atom
ΔE to the lowest computed polymorph: 0.69 eV/f.u.

Geometry as CIF:
```
data_ReRu2Se
_chemical_formula_sum 'Re2 Ru4 Se2'
_space_group_name_H-M_alt 'I m m 2'
_space_group_IT_number 44
_space_group_name_Hall 'I 2 -2'
_cell_length_a 2.938
_cell_length_b 4.409
_cell_length_c 9.069
_cell_angle_alpha 90.00
_cell_angle_beta 90.00
_cell_angle_gamma 90.00
loop_
_atom_site_label
_atom_site_type_symbol
_atom_site_fract_x
_atom_site_fract_y
_atom_site_fract_z
Re1 Re 0.000 0.000 0.000
Ru1 Ru 0.000 0.000 0.446
Ru2 Ru 0.000 0.500 0.233
Se1 Se 0.000 0.500 0.725
```



[2]
# ReRu2Se

ReRu2Se after structural relaxation (PBE, Alexandria via LeMat-Bulk).

Properties
E_form (uncorrected): 0.504 eV/atom
ΔE to the lowest computed polymorph: 1.30 eV/f.u.

Geometry as CIF:
```
data_ReRu2Se
_chemical_formula_sum 'Re1 Ru2 Se1'
_space_group_name_H-M_alt 'P m m m'
_space_group_IT_number 47
_space_group_name_Hall '-P 2 2'
_cell_length_a 2.922
_cell_length_b 4.442
_cell_length_c 4.555
_cell_angle_alpha 90.00
_cell_angle_beta 90.00
_cell_angle_gamma 90.00
loop_
_atom_site_label
_atom_site_type_symbol
_atom_site_fract_x
_atom_site_fract_y
_atom_site_fract_z
Re1 Re 0.000 0.000 0.000
Ru1 Ru 0.000 0.500 0.500
Ru2 Ru 0.500 0.500 0.000
Se1 Se 0.500 0.000 0.500
```



[3]
# ReRu2Se

ReRu2Se after structural relaxation (PBE, Alexandria via LeMat-Bulk).

Properties
E_form (uncorrected): 0.562 eV/atom
ΔE to the lowest computed polymorph: 1.53 eV/f.u.

Geometry as CIF:
```
data_ReRu2Se
_chemical_formula_sum 'Re2 Ru4 Se2'
_space_group_name_H-M_alt 'C m m m'
_space_group_IT_number 65
_space_group_name_Hall '-C 2 2'
_cell_length_a 2.893
_cell_length_b 4.679
_cell_length_c 9.069
_cell_angle_alpha 90.00
_cell_angle_beta 90.00
_cell_angle_gamma 90.00
loop_
_atom_site_label
_atom_site_type_symbol
_atom_site_fract_x
_atom_site_fract_y
_atom_site_fract_z
Re1 Re 0.000 0.000 0.000
Ru1 Ru 0.000 0.500 0.243
Se1 Se 0.000 0.000 0.500
```



[4]
# ReRuSe

ReRuSe after structural relaxation (PBE, Alexandria via LeMat-Bulk).

Properties
E_form (uncorrected): 0.558 eV/atom
ΔE to the lowest computed polymorph: 0.94 eV/f.u.

Geometry as CIF:
```
data_ReRuSe
_chemical_formula_sum 'Re2 Ru2 Se2'
_space_group_name_H-M_alt 'I m m 2'
_space_group_IT_number 44
_space_group_name_Hall 'I 2 -2'
_cell_length_a 2.942
_cell_length_b 3.938
_cell_length_c 7.855
_cell_angle_alpha 90.00
_cell_angle_beta 90.00
_cell_angle_gamma 90.00
loop_
_atom_site_label
_atom_site_type_symbol
_atom_site_fract_x
_atom_site_fract_y
_atom_site_fract_z
Re1 Re 0.000 0.000 0.000
Ru1 Ru 0.000 0.000 0.654
Se1 Se 0.000 0.000 0.327
```



[5]
# ReRu2Se

ReRu2Se after structural relaxation (PBE, Alexandria via LeMat-Bulk).

Properties
E_form (uncorrected): 0.458 eV/atom
ΔE to the lowest computed polymorph: 1.12 eV/f.u.

Geometry as CIF:
```
data_ReRu2Se
_chemical_formula_sum 'Re2 Ru4 Se2'
_space_group_name_H-M_alt 'C m m m'
_space_group_IT_number 65
_space_group_name_Hall '-C 2 2'
_cell_length_a 5.833
_cell_length_b 7.142
_cell_length_c 2.863
_cell_angle_alpha 90.00
_cell_angle_beta 90.00
_cell_angle_gamma 90.00
loop_
_atom_site_label
_atom_site_type_symbol
_atom_site_fract_x
_atom_site_fract_y
_atom_site_fract_z
Re1 Re 0.000 0.000 0.000
Ru1 Ru 0.250 0.250 0.500
Se1 Se 0.000 0.500 0.000
```



[6]
# ReRu2Se

ReRu2Se after structural relaxation (PBE, Alexandria via LeMat-Bulk).

Properties
E_form (uncorrected): 0.665 eV/atom
ΔE to the lowest computed polymorph: 1.95 eV/f.u.

Geometry as CIF:
```
data_ReRu2Se
_chemical_formula_sum 'Re4 Ru8 Se4'
_space_group_name_H-M_alt 'I -4 2 d'
_space_group_IT_number 122
_space_group_name_Hall 'I -4 2bw'
_cell_length_a 5.590
_cell_length_b 5.590
_cell_length_c 10.845
_cell_angle_alpha 90.00
_cell_angle_beta 90.00
_cell_angle_gamma 90.00
loop_
_atom_site_label
_atom_site_type_symbol
_atom_site_fract_x
_atom_site_fract_y
_atom_site_fract_z
Re1 Re 0.000 0.000 0.000
Ru1 Ru 0.247 0.250 0.125
Se1 Se 0.000 0.000 0.500
```



| no. | total energy (eV per atom) |
| --- | --- |
| 1 | -8.2711 |
| 2 | -8.1171 |
| 3 | -8.0595 |
| 4 | -7.8447 |
| 5 | -8.1628 |
| 6 | -7.9562 |